[1]
# Y4Th3Sc

Crystalline Y4Th3Sc at its relaxed geometry (GGA-PBE, Alexandria via LeMat-Bulk).

The structure in extended XYZ format:
```
8
Lattice="-5.2454 -1.8819 1.7483 -1.1320 -1.9308 -5.4746 6.1203 -4.5400 3.7200" Properties=species:S:1:pos:R:3 pbc="T T T"
Th -0.9098 -6.8388 -0.3351
Y -1.1118 -4.1038 2.0027
Sc -2.6227 -0.9409 0.8741
Th -0.5660 -0.9654 -2.7373
Y 2.1432 -4.8956 1.1608
Y 0.8547 -4.2488 -2.0089
Y -2.4003 -3.4571 -1.1670
Th 0.6527 -1.5139 0.3289
```

Computed properties:
Fermi-level density of states, states/eV/f.u.: 14.47
Energy of formation from the pure elements, eV per atom: 0.13
Total magnetic moment, μB per cell: 0.00
Symmetry: C2/m (12)
Mass density, g cm⁻³: 7.20
Calculated total energy, eV/atom: -6.672

***

[2]
# Y5Th5Sc2

Crystalline Y5Th5Sc2 at its relaxed geometry (GGA-PBE, Alexandria via LeMat-Bulk).

The structure in extended XYZ format:
```
12
Lattice="4.9122 0.0000 1.0497 2.1700 7.2414 1.8637 0.2925 0.5797 10.6496" Properties=species:S:1:pos:R:3 pbc="T T T"
Sc 5.6253 3.4509 9.7308
Y 3.6873 3.9105 6.7815
Y 3.2606 1.0496 8.7786
Th 3.0863 5.8591 9.5941
Y 2.3517 2.4257 1.0135
Th 1.3364 1.5100 5.7645
Sc 1.7493 4.3701 3.8322
Y 5.0230 5.3953 12.5495
Th 0.0000 0.0000 0.0000
Y 4.1141 6.7714 4.7844
Th 6.0383 6.3110 7.7984
Th 4.2884 1.9620 3.9689
```

Computed properties:
Fermi-level density of states, states/eV/f.u.: 19.09
Energy of formation from the pure elements, eV per atom: 0.06
Total magnetic moment, μB per cell: 0.00
Symmetry: C2/m (12)
Mass density, g cm⁻³: 7.55
Calculated total energy, eV/atom: -6.779

***

[3]
# YTh2Sc2

Crystalline YTh2Sc2 at its relaxed geometry (GGA-PBE, Alexandria via LeMat-Bulk).

The structure in extended XYZ format:
```
10
Lattice="-1.8704 -5.7213 -1.1715 5.8821 1.7332 0.0380 -1.3920 -0.3149 10.8629" Properties=species:S:1:pos:R:3 pbc="T T T"
Th -0.6275 -4.5262 -0.9776
Th 4.6392 0.5381 -0.1559
Y -0.6283 -4.0151 4.5623
Sc 3.6298 -2.1380 2.0168
Th 4.4908 0.9072 5.3610
Sc 0.6888 -3.0046 1.9978
Sc -0.0072 -3.1620 7.4293
Th 2.0051 -1.4830 4.9732
Sc 0.9280 -0.3014 8.0150
Y 2.0058 -1.9941 -0.5668
```

Computed properties:
Fermi-level density of states, states/eV/f.u.: 9.96
Energy of formation from the pure elements, eV per atom: 0.57
Total magnetic moment, μB per cell: 0.00
Polymorph energy (0 for the lowest one), eV per formula unit: 2.590
Symmetry: Fddd (70)
Mass density, g cm⁻³: 6.47
Calculated total energy, eV/atom: -6.222

***

[4]
# Y2ThSc12

Crystalline Y2ThSc12 at its relaxed geometry (GGA-PBE, Alexandria via LeMat-Bulk).

The structure in extended XYZ format:
```
30
Lattice="6.6844 0.0000 0.0000 0.0000 6.6844 0.0000 0.0000 0.0000 18.9524" Properties=species:S:1:pos:R:3 pbc="T T T"
Sc 1.0204 2.3218 8.3344
Sc 5.0281 4.9985 2.4003
Sc 4.3626 5.6640 10.6180
Sc 2.3218 1.0204 10.6180
Sc 0.0000 0.0000 4.4706
Sc 3.3422 3.3422 4.4706
Sc 3.3422 3.3422 14.4818
Sc 0.0000 0.0000 11.5617
Th 0.0000 3.3422 0.0000
Sc 1.0204 4.3626 10.6180
Y 3.3422 0.0000 13.8206
Sc 2.3218 5.6640 8.3344
Sc 4.3626 1.0204 8.3344
Sc 3.3422 3.3422 11.5617
Sc 1.6859 5.0281 2.4003
Y 0.0000 3.3422 5.1318
Sc 4.9985 1.6563 2.4003
Sc 5.0281 1.6859 16.5520
Y 0.0000 3.3422 13.8206
Sc 5.6640 4.3626 8.3344
Sc 1.6563 1.6859 2.4003
Sc 1.6563 4.9985 16.5520
Sc 0.0000 0.0000 14.4818
Y 3.3422 0.0000 5.1318
Sc 5.6640 2.3218 10.6180
Th 3.3422 0.0000 0.0000
Sc 0.0000 0.0000 7.3906
Sc 3.3422 3.3422 7.3906
Sc 4.9985 5.0281 16.5520
Sc 1.6859 1.6563 16.5520
```

Computed properties:
Fermi-level density of states, states/eV/f.u.: 30.92
Energy of formation from the pure elements, eV per atom: 0.57
Total magnetic moment, μB per cell: 5.91
Symmetry: P4/nbm (125)
Mass density, g cm⁻³: 3.72
Calculated total energy, eV/atom: -5.854

***

[5]
# Y3ThSc

Crystalline Y3ThSc at its relaxed geometry (GGA-PBE, Alexandria via LeMat-Bulk).

The structure in extended XYZ format:
```
20
Lattice="3.5324 0.0000 0.0000 0.0000 10.4820 0.0000 0.0000 0.0000 17.1664" Properties=species:S:1:pos:R:3 pbc="T T T"
Y 0.8711 9.8225 15.8267
Sc 0.8574 2.6205 12.6407
Y 2.6613 9.8225 7.2435
Sc 2.6750 7.8615 4.5257
Y 0.9034 5.2410 4.2916
Sc 0.8574 7.8615 13.1089
Y 0.8711 4.5815 9.9229
Y 0.8711 0.6594 9.9229
Th 0.9136 7.8615 1.6316
Y 0.8711 5.9004 15.8267
Sc 2.6750 2.6205 4.0575
Th 0.9136 2.6205 6.9515
Y 2.6613 5.9004 7.2435
Y 2.6613 4.5815 1.3397
Y 0.9034 0.0000 4.2916
Y 2.6290 5.2410 12.8748
Th 2.6188 7.8615 10.2148
Th 2.6188 2.6205 15.5347
Y 2.6613 0.6594 1.3397
Y 2.6290 0.0000 12.8748
```

Computed properties:
Fermi-level density of states, states/eV/f.u.: 7.80
Energy of formation from the pure elements, eV per atom: 0.20
Total magnetic moment, μB per cell: 0.00
Polymorph energy (0 for the lowest one), eV per formula unit: 0.000
Symmetry: Pbcm (57)
Mass density, g cm⁻³: 5.68
Calculated total energy, eV/atom: -6.427

***

[6]
# Y4ThSc3

Crystalline Y4ThSc3 at its relaxed geometry (GGA-PBE, Alexandria via LeMat-Bulk).

The structure in extended XYZ format:
```
8
Lattice="-1.4307 1.5113 2.5757 -7.5072 -0.0719 -4.1279 -0.9399 -7.5625 3.9151" Properties=species:S:1:pos:R:3 pbc="T T T"
Y -3.3587 -4.8639 3.1167
Sc -0.4699 -3.7813 1.9576
Y -2.1376 -1.9320 -0.0539
Th -0.7154 0.7556 1.2878
Sc -4.9389 -3.0616 1.1814
Sc -3.7536 -0.0360 -2.0640
Y -6.5191 -1.2592 -0.7538
Y -6.3095 -5.7024 -0.1589
```

Computed properties:
Fermi-level density of states, states/eV/f.u.: 16.22
Energy of formation from the pure elements, eV per atom: 0.44
Total magnetic moment, μB per cell: 2.18
Symmetry: Cmmm (65)
Mass density, g cm⁻³: 4.97
Calculated total energy, eV/atom: -6.092

***

[7]
# YTh3Sc4

Crystalline YTh3Sc4 at its relaxed geometry (GGA-PBE, Alexandria via LeMat-Bulk).

The structure in extended XYZ format:
```
16
Lattice="4.9086 0.0000 0.0000 0.0000 9.4336 0.0000 0.0000 0.0000 9.8542" Properties=species:S:1:pos:R:3 pbc="T T T"
Th 0.3164 5.9849 7.4070
Sc 2.7703 1.0992 0.0000
Sc 0.3161 8.3432 0.0000
Th 2.7707 5.9901 0.0000
Sc 0.3160 8.3344 4.9271
Sc 2.7704 1.0904 4.9271
Y 2.7704 5.9921 4.9271
Sc 2.7703 8.3564 2.4475
Sc 2.7703 8.3564 7.4067
Th 0.3164 3.4436 4.9271
Y 0.3161 3.4416 0.0000
Sc 0.3160 1.0773 2.4796
Th 0.3164 5.9849 2.4472
Sc 0.3160 1.0773 7.3746
Th 2.7707 3.4487 7.3743
Th 2.7707 3.4487 2.4799
```

Computed properties:
Fermi-level density of states, states/eV/f.u.: 15.74
Energy of formation from the pure elements, eV per atom: 0.06
Total magnetic moment, μB per cell: 0.00
Polymorph energy (0 for the lowest one), eV per formula unit: 0.124
Symmetry: Pmmn (59)
Mass density, g cm⁻³: 7.02
Calculated total energy, eV/atom: -6.693

***

[8]
# YThSc2

Crystalline YThSc2 at its relaxed geometry (GGA-PBE, Alexandria via LeMat-Bulk).

The structure in extended XYZ format:
```
4
Lattice="-1.5693 0.0409 -3.1437 -3.0617 -4.6370 1.4681 -3.2002 4.4775 1.6558" Properties=species:S:1:pos:R:3 pbc="T T T"
Sc -1.6001 2.2387 0.8279
Sc -1.5308 -2.3185 0.7340
Th -0.7847 0.0205 -1.5718
Y -3.9156 -0.0593 -0.0099
```

Computed properties:
Fermi-level density of states, states/eV/f.u.: 4.67
Energy of formation from the pure elements, eV per atom: 0.02
Total magnetic moment, μB per cell: 0.00
Polymorph energy (0 for the lowest one), eV per formula unit: 0.000
Symmetry: Cmmm (65)
Mass density, g cm⁻³: 6.08
Calculated total energy, eV/atom: -6.616

***

[9]
# Y6ThSc2

Crystalline Y6ThSc2 at its relaxed geometry (GGA-PBE, Alexandria via LeMat-Bulk).

The structure in extended XYZ format:
```
9
Lattice="4.0336 -2.9551 4.2080 5.7032 -3.0104 -1.0588 8.9858 4.1997 2.8044" Properties=species:S:1:pos:R:3 pbc="T T T"
Y 14.5550 -0.2542 4.6166
Sc 10.2072 1.2490 3.2226
Th 4.4929 2.0999 1.4022
Y 7.4716 3.4869 2.3319
Y 4.1676 -1.5116 1.3370
Y 7.2476 -0.1463 2.2990
Y 11.4750 -1.6195 3.6546
Sc 8.5155 -3.0148 2.7310
Y 11.2511 -5.2527 3.6217
```

Computed properties:
Fermi-level density of states, states/eV/f.u.: 15.07
Energy of formation from the pure elements, eV per atom: 0.06
Total magnetic moment, μB per cell: 0.00
Polymorph energy (0 for the lowest one), eV per formula unit: 0.000
Symmetry: C2/m (12)
Mass density, g cm⁻³: 5.19
Calculated total energy, eV/atom: -6.481

***

[10]
# YTh3Sc4

Crystalline YTh3Sc4 at its relaxed geometry (GGA-PBE, Alexandria via LeMat-Bulk).

The structure in extended XYZ format:
```
8
Lattice="3.7159 0.0000 0.0000 0.0000 5.5079 0.0000 0.0000 0.0000 11.0230" Properties=species:S:1:pos:R:3 pbc="T T T"
Sc 0.0000 2.7540 2.8015
Sc 0.0000 2.7540 8.2216
Th 1.8579 0.0000 8.2976
Sc 0.0000 0.0000 5.5115
Sc 0.0000 0.0000 0.0000
Th 1.8579 2.7540 5.5115
Y 1.8579 2.7540 0.0000
Th 1.8579 0.0000 2.7254
```

Computed properties:
Fermi-level density of states, states/eV/f.u.: 9.19
Energy of formation from the pure elements, eV per atom: 0.05
Total magnetic moment, μB per cell: 0.00
Polymorph energy (0 for the lowest one), eV per formula unit: 0.000
Symmetry: Pmmm (47)
Mass density, g cm⁻³: 7.10
Calculated total energy, eV/atom: -6.708

***

Copy entry 7 word for word.
# YTh3Sc4

Crystalline YTh3Sc4 at its relaxed geometry (GGA-PBE, Alexandria via LeMat-Bulk).

The structure in extended XYZ format:
```
16
Lattice="4.9086 0.0000 0.0000 0.0000 9.4336 0.0000 0.0000 0.0000 9.8542" Properties=species:S:1:pos:R:3 pbc="T T T"
Th 0.3164 5.9849 7.4070
Sc 2.7703 1.0992 0.0000
Sc 0.3161 8.3432 0.0000
Th 2.7707 5.9901 0.0000
Sc 0.3160 8.3344 4.9271
Sc 2.7704 1.0904 4.9271
Y 2.7704 5.9921 4.9271
Sc 2.7703 8.3564 2.4475
Sc 2.7703 8.3564 7.4067
Th 0.3164 3.4436 4.9271
Y 0.3161 3.4416 0.0000
Sc 0.3160 1.0773 2.4796
Th 0.3164 5.9849 2.4472
Sc 0.3160 1.0773 7.3746
Th 2.7707 3.4487 7.3743
Th 2.7707 3.4487 2.4799
```

Computed properties:
Fermi-level density of states, states/eV/f.u.: 15.74
Energy of formation from the pure elements, eV per atom: 0.06
Total magnetic moment, μB per cell: 0.00
Polymorph energy (0 for the lowest one), eV per formula unit: 0.124
Symmetry: Pmmn (59)
Mass density, g cm⁻³: 7.02
Calculated total energy, eV/atom: -6.693

***

> Look up the Fermi-level density of states of the ninth one.

15.07 states/eV/f.u.